Pa2MnMo | GGA-PBE | relaxed

The structure in POSCAR format:
```
Pa2MnMo
1.0
3.448 0.000 0.000
0.000 3.448 0.000
0.000 0.000 6.604
Mn Pa Mo
1 2 1
direct
0.500 0.500 0.500 Mn
0.000 0.000 0.733 Pa
0.000 0.000 0.267 Pa
0.500 0.500 0.000 Mo
```

The polymorph energy (0 for the lowest one) is 0.000 eV per atom. The total magnetization comes out at 0.90 μB/f.u. Its crystal system is tetragonal. For the formation energy, the calculation gives 178 meV/atom.

=====

CePaAgPd | GGA-PBE | relaxed

The structure in POSCAR format:
```
CePaAgPd
1.0
-3.522 -3.009 2.085
-0.863 -4.617 -1.933
1.405 -4.140 2.587
Ag Ce Pd Pa
1 1 1 1
direct
0.250 0.250 0.250 Ag
0.500 0.500 0.500 Ce
0.750 0.750 0.750 Pd
0.000 0.000 0.000 Pa
```

The total magnetization comes out at 1.76 μB/f.u. Its crystal system is cubic. For the formation energy, the calculation gives -88 meV/atom.

=====

RhSIN2 | GGA-PBE | relaxed

The structure in POSCAR format:
```
RhSIN2
1.0
-2.568 -1.539 -2.329
0.060 -3.194 2.044
-6.244 3.014 4.893
N Rh S I
2 1 1 1
direct
0.500 0.000 0.000 N
0.000 0.500 0.000 N
0.000 0.000 0.000 Rh
0.500 0.500 0.500 S
0.000 0.000 0.500 I
```

The polymorph energy (0 for the lowest one) is 0.000 eV per atom. The total magnetization comes out at 0.26 μB/f.u. Its crystal system is tetragonal.

=====

ZrSiAu2 | GGA-PBE | relaxed

The structure in POSCAR format:
```
ZrSiAu2
1.0
-0.437 -2.479 -2.070
2.911 -1.208 0.832
-2.971 -3.688 5.043
Si Zr Au
1 1 2
direct
0.500 0.500 0.250 Si
0.500 0.500 0.750 Zr
0.000 0.000 0.026 Au
0.000 0.000 0.474 Au
```

The total magnetization comes out at 0.81 μB/f.u. Its crystal system is tetragonal. The total energy comes out at -21.242 eV for the cell shown.